Entry 1:
InFeHg2Te | PBE-GGA | optimized geometry

## Properties
E_form (uncorrected) in meV/atom: 394

Cell: 5.134 5.134 5.294 Å, 90.00 90.00 90.00°
Space group P4/mmm (No. 123)
One atom of each set of equivalent atoms:
In 0.000 0.000 0.000 x1
Fe 0.000 0.000 0.500 x1
Hg 0.000 0.500 0.500 x2
Te 0.500 0.500 0.000 x1

Entry 2:
Lu2MgGe | PBE-GGA | optimized geometry

## Properties
ΔE_f in eV/atom: -0.35

Cell: 4.671 4.671 4.148 Å, 90.00 90.00 90.00°
Space group P4/mmm (No. 123)
One atom of each set of equivalent atoms:
Lu 0.000 0.500 0.000 x2
Mg 0.000 0.000 0.500 x1
Ge 0.500 0.500 0.500 x1

Entry 3:
MnAlRe | PBE-GGA | optimized geometry

## Properties
ΔE_f in eV/atom: -0.10

Cell: 4.1690 4.1690 2.6722 Å, 90.00 90.00 120.00°
Space group P3m1 (No. 156)
One atom of each set of equivalent atoms:
Mn 0.0000 0.0000 0.0000 x1
Al 0.3333 0.6667 0.6983 x1
Re 0.6667 0.3333 0.2759 x1